Entry 1:
First-principles (PBE-GGA) data for a relaxed structure of NpRe, as listed in OQMD via LeMat-Bulk.

Geometry as extended XYZ:
```
2
Lattice="2.744 0.000 0.000 -1.372 2.377 0.000 0.000 0.000 5.454" Properties=species:S:1:pos:R:3 pbc="T T T"
Np 1.372 0.792 4.091
Re 0.000 1.584 1.364
```

## Properties
V (Å³/cell): 36
E_tot (eV per formula unit): -24.4
Energy above the most stable polymorph in this dataset (meV/atom): 0
Energy of formation (eV/f.u.): 0.83

Entry 2:
First-principles (PBE-GGA) data for a relaxed structure of PaTl2Pb2, as listed in OQMD via LeMat-Bulk.

Geometry as extended XYZ:
```
5
Lattice="-2.194 2.194 7.933 2.194 -2.194 7.933 2.194 2.194 -7.933" Properties=species:S:1:pos:R:3 pbc="T T T"
Pa 0.000 0.000 0.000
Pb 0.000 0.000 6.462
Pb 0.000 0.000 9.404
Tl 0.000 2.194 3.966
Tl 2.194 0.000 3.966
```

## Properties
V (Å³/cell): 153
E_tot (eV per formula unit): -19.9
Energy above the most stable polymorph in this dataset (meV/atom): 0

Entry 3:
First-principles (PBE-GGA) data for a relaxed structure of LaNbAl, as listed in OQMD via LeMat-Bulk.

Geometry as extended XYZ:
```
3
Lattice="2.185 -1.219 4.079 -1.238 2.125 4.105 -2.378 -2.460 3.346" Properties=species:S:1:pos:R:3 pbc="T T T"
Al 0.000 0.000 0.000
La -0.358 -0.388 2.883
Nb -1.073 -1.165 8.648
```

## Properties
V (Å³/cell): 77
E_tot (eV per formula unit): -17.4
Energy above the most stable polymorph in this dataset (meV/atom): 0

Entry 4:
First-principles (PBE-GGA) data for a relaxed structure of Zn2ICl3, as listed in OQMD via LeMat-Bulk.

Geometry as extended XYZ:
```
6
Lattice="-1.468 -2.454 2.525 3.396 -2.013 0.018 3.955 6.753 8.863" Properties=species:S:1:pos:R:3 pbc="T T T"
Cl 1.453 -1.399 2.367
Cl 1.547 2.641 3.467
Cl 3.362 1.860 6.644
I 3.432 5.860 7.692
Zn 1.740 -0.934 0.104
Zn 1.246 2.154 5.699
```

## Properties
V (Å³/cell): 178
E_tot (eV per formula unit): -15.4

Entry 5:
First-principles (PBE-GGA) data for a relaxed structure of TlInPdSe3, as listed in OQMD via LeMat-Bulk.

Geometry as extended XYZ:
```
12
Lattice="-3.222 0.353 -7.307 0.339 -3.870 -0.336 -8.202 -1.361 7.392" Properties=species:S:1:pos:R:3 pbc="T T T"
In -1.262 -2.985 -0.832
In -9.824 -1.893 0.580
Pd -4.397 -1.361 -0.079
Pd -6.689 -3.518 -0.173
Se -4.189 -0.824 -6.043
Se -2.747 -1.046 -2.040
Se -4.561 -3.454 1.237
Se -6.525 -1.424 -1.489
Se -8.339 -3.833 1.788
Se -6.897 -4.054 5.791
Tl -4.719 -3.040 -3.682
Tl -6.367 -1.838 3.431
```

## Properties
V (Å³/cell): 329
E_tot (eV per formula unit): -22.7
Energy above the most stable polymorph in this dataset (meV/atom): 0

Entry 6:
First-principles (PBE-GGA) data for a relaxed structure of TaTcHg, as listed in OQMD via LeMat-Bulk.

Geometry as extended XYZ:
```
3
Lattice="0.000 3.152 3.152 3.152 0.000 3.152 3.152 3.152 0.000" Properties=species:S:1:pos:R:3 pbc="T T T"
Hg 1.576 1.576 1.576
Ta 0.000 0.000 0.000
Tc 4.729 4.729 4.729
```

## Properties
V (Å³/cell): 63
E_tot (eV per formula unit): -20.0
Energy above the most stable polymorph in this dataset (meV/atom): 113
Energy of formation (eV/f.u.): 2.49

Entry 7:
First-principles (PBE-GGA) data for a relaxed structure of TbDy, as listed in OQMD via LeMat-Bulk.

Geometry as extended XYZ:
```
4
Lattice="-1.323 -1.976 -2.722 3.516 0.837 0.084 1.946 -8.709 5.376" Properties=species:S:1:pos:R:3 pbc="T T T"
Dy 2.389 -2.278 0.492
Dy 1.749 -7.570 2.245
Tb 0.000 0.000 0.000
Tb 0.973 -4.355 2.688
```

## Properties
V (Å³/cell): 118
E_tot (eV per formula unit): -9.1
Energy above the most stable polymorph in this dataset (meV/atom): 68
Energy of formation (eV/f.u.): 0.16

Entry 8:
First-principles (PBE-GGA) data for a relaxed structure of AgHgNO, as listed in OQMD via LeMat-Bulk.

Geometry as extended XYZ:
```
8
Lattice="-4.012 0.063 1.615 1.470 -1.652 3.717 1.058 6.295 2.380" Properties=species:S:1:pos:R:3 pbc="T T T"
Ag -2.113 2.782 3.330
Ag 0.629 1.924 4.381
Hg -0.522 0.277 1.588
Hg -0.962 4.429 6.124
N -0.167 2.390 2.387
N -1.317 2.316 5.325
O -2.641 -0.365 2.141
O 0.100 -1.223 3.192
```

## Properties
V (Å³/cell): 127
E_tot (eV per formula unit): -13.3
Energy above the most stable polymorph in this dataset (meV/atom): 0